Below is an optimized crystal structure of CoSnC4Cl3O4, with properties calculated at the PBE with a Hubbard U level.

DOS(E_F)   0.000 states/eV per atom
E_tot   -240.9 eV for the cell shown

Unit cell a=10.7233 b=10.7233 c=9.6189 alpha=90.00 beta=90.00 gamma=120.00
Space group R3 (No. 146, hexagonal axes)
Unique sites:
Co 0.0000 0.0000 0.0000
Sn 0.0000 0.0000 0.2626
C 0.0000 0.0000 0.8158
C 0.1849 0.1363 0.0149
Cl 0.0069 0.2034 0.3638
O 0.0000 0.0000 0.6962
O 0.1092 0.7477 0.6853